Entry 1:
Below is a relaxed structure of Mg3Zr3Cd8, with properties calculated at the PBE level.

Computed properties:
Spin magnetization   0.0 μB per formula unit
Density   6.11 g/cm³
DFT formation energy   0.09 eV/atom

Cell: 4.533 9.781 9.781 Å, 53.96 76.60 76.60°
Fractional coordinates of all 14 atoms:
Cd (0.208, 0.449, 0.135)
Cd (0.208, 0.135, 0.449)
Cd (0.792, 0.551, 0.865)
Cd (0.621, 0.634, 0.125)
Cd (0.792, 0.865, 0.551)
Cd (0.379, 0.366, 0.875)
Cd (0.379, 0.875, 0.366)
Cd (0.621, 0.125, 0.634)
Zr (0.000, 0.235, 0.765)
Zr (0.500, 0.000, 0.000)
Zr (0.000, 0.765, 0.235)
Mg (0.151, 0.849, 0.849)
Mg (0.500, 0.500, 0.500)
Mg (0.849, 0.151, 0.151)


Entry 2:
Below is a relaxed structure of Cs2AcUS6, with properties calculated at the PBE level.

Computed properties:
Spin magnetization   0.0 μB per formula unit
Raw formation energy   -1376 meV/atom
Density   4.63 g/cm³

Cell: 7.767 7.766 10.983 Å, 90.00 90.00 90.00°
Fractional coordinates of all 20 atoms:
S (0.768, 0.268, 0.000)
S (0.499, 0.000, 0.732)
S (0.732, 0.768, 0.500)
S (0.999, 0.500, 0.232)
S (0.268, 0.232, 0.500)
S (0.768, 0.732, 0.000)
S (0.732, 0.232, 0.500)
S (0.232, 0.732, 0.000)
S (0.232, 0.268, 0.000)
S (0.001, 0.500, 0.768)
S (0.268, 0.768, 0.500)
S (0.501, 0.000, 0.268)
U (0.000, 0.500, 0.000)
U (0.500, 0.000, 0.500)
Cs (0.500, 0.500, 0.250)
Cs (0.000, 0.000, 0.250)
Cs (0.000, 0.000, 0.750)
Cs (0.500, 0.500, 0.750)
Ac (0.500, 0.000, 0.000)
Ac (0.000, 0.500, 0.500)